An optimized crystal structure of Tm3Lu3Te2Os, computed with GGA-PBE.

Structure (CIF):
```
data_Tm3Lu3Te2Os
_chemical_formula_sum 'Tm3 Lu3 Te2 Os1'
_cell_length_a 8.1390
_cell_length_b 8.1390
_cell_length_c 4.0252
_cell_angle_alpha 90.00
_cell_angle_beta 90.00
_cell_angle_gamma 120.00
_symmetry_space_group_name_H-M 'P -6 2 m'
_symmetry_Int_Tables_number 189
_symmetry_space_group_name_Hall 'P -6 -2'
loop_
_atom_site_label
_atom_site_type_symbol
_atom_site_fract_x
_atom_site_fract_y
_atom_site_fract_z
Tm1 Tm 0.0000 0.6157 0.0000
Lu1 Lu 0.0000 0.2379 0.5000
Te1 Te 0.3333 0.6667 0.5000
Os1 Os 0.0000 0.0000 0.0000
```

Output
The density comes out at 10.62 g/cm3. Its energy is -5.663 eV/atom. For the volume, the calculation gives 25.7 Å³ per atom.